Zr2CdSb | PBE | relaxed

The structure belongs to space group I-4m2 (No. 119); the cell edges are 4.263, 4.263 and 9.843 Å and the angles 90.00°, 90.00° and 90.00°. The distinct sites, in fractional coordinates, are Zr at (0.000, 0.000, 0.000), Zr at (0.000, 0.500, 0.250), Cd at (0.000, 0.000, 0.500) and Sb at (0.000, 0.500, 0.750).

The crystal system is tetragonal. For the uncorrected formation energy, the calculation gives -0.296 eV/atom. The energy above the lowest structure with this stoichiometry is 0.035 eV/atom. For the total moment, the calculation gives 0.00 μB per cell. The density of states at the Fermi level is 0.832 states/eV/atom.

---

Pm2HoRu | PBE | relaxed

The structure belongs to space group P4/mmm (No. 123); the cell edges are 3.495, 3.495 and 9.132 Å and the angles 90.00°, 90.00° and 90.00°. The distinct sites, in fractional coordinates, are Pm at (0.000, 0.000, 0.187), Ho at (0.500, 0.500, 0.500) and Ru at (0.500, 0.500, 0.000).

The crystal system is tetragonal. The energy above the lowest structure with this stoichiometry is 0.194 eV/atom. For the total moment, the calculation gives 0.00 μB per cell. The calculation puts the formation enthalpy at 0 K at -0.054 eV per atom. The density of states at the Fermi level is 1.304 states/eV/atom.

---

Cu2Sn2Sb | PBE | relaxed

The structure belongs to space group P4/mbm (No. 127); the cell edges are 8.221, 8.221 and 3.179 Å and the angles 90.00°, 90.00° and 90.00°. The distinct sites, in fractional coordinates, are Cu at (0.107, 0.393, 0.000), Sn at (0.179, 0.679, 0.500) and Sb at (0.000, 0.000, 0.500).

The crystal system is tetragonal. For the uncorrected formation energy, the calculation gives 0.230 eV/atom. The energy above the lowest structure with this stoichiometry is 0.115 eV/atom. For the total moment, the calculation gives 0.00 μB per cell. The density of states at the Fermi level is 0.393 states/eV/atom.

---

SrInPt3 | PBE | relaxed

The structure belongs to space group Pm-3m (No. 221); the cell edges are 5.041, 5.041 and 5.041 Å and the angles 90.00°, 90.00° and 90.00°. The distinct sites, in fractional coordinates, are Sr at (0.000, 0.000, 0.000), In at (0.500, 0.500, 0.500) and Pt at (0.000, 0.500, 0.500).

The crystal system is cubic. The energy above the lowest structure with this stoichiometry is 0.000 eV/atom. For the total moment, the calculation gives 0.00 μB per cell. The calculation puts the formation enthalpy at 0 K at 0.059 eV per atom. The density of states at the Fermi level is 0.626 states/eV/atom.

---

Which value of energy above the lowest structure with this stoichiometry does entry 1 give? 0.035 eV/atom